Here is a relaxed LiAsPtO crystal from the Open Quantum Materials Database. Energies are from PBE-GGA.

a b c (Å): 3.158 7.379 5.169
angles (deg): 90.00 90.00 90.00
Space group Pmc2_1 (No. 26)
Inequivalent atoms, fractional coordinates:
Li1 0.000 0.125 0.000 [2 per cell]
As1 0.000 0.451 0.450 [2 per cell]
Pt1 0.500 0.209 0.453 [2 per cell]
O1 0.500 0.053 0.812 [2 per cell]

Results
Magnetization ... 0.000 μB/atom
ρ ... 8.1 g/cm³
Final energy ... -0.3700 Ry per atom



Here is a relaxed Be2GaPt2 crystal from the Open Quantum Materials Database. Energies are from PBE-GGA.

a b c (Å): 6.849 6.849 2.778
angles (deg): 90.00 90.00 90.00
Space group P4/mbm (No. 127)
Inequivalent atoms, fractional coordinates:
Be1 0.133 0.367 0.000 [4 per cell]
Ga1 0.000 0.000 0.500 [2 per cell]
Pt1 0.159 0.659 0.500 [4 per cell]

Results
Magnetization ... 0.000 μB/atom
ρ ... 12.2 g/cm³
Final energy ... -0.3740 Ry per atom



Here is a relaxed CoSi3 crystal from the Open Quantum Materials Database. Energies are from PBE-GGA.

a b c (Å): 5.1475 5.1475 4.4313
angles (deg): 90.00 90.00 120.00
Space group P6_3/mmc (No. 194)
Inequivalent atoms, fractional coordinates:
Co1 0.3333 0.6667 0.2500 [2 per cell]
Si1 0.1708 0.3415 0.7500 [6 per cell]

Results
Magnetization ... 0.002 μB/atom
ρ ... 4.7 g/cm³
Final energy ... -0.4071 Ry per atom



Here is a relaxed DyAlHg crystal from the Open Quantum Materials Database. Energies are from PBE-GGA.

a b c (Å): 4.6717 4.6717 3.5695
angles (deg): 90.00 90.00 120.00
Space group P-6m2 (No. 187)
Inequivalent atoms, fractional coordinates:
Dy1 0.0000 0.0000 0.0000 [1 per cell]
Al1 0.3333 0.6667 0.5000 [1 per cell]
Hg1 0.6667 0.3333 0.5000 [1 per cell]

Results
Magnetization ... 0.003 μB/atom
ρ ... 9.6 g/cm³
Final energy ... -0.2455 Ry per atom



Here is a relaxed DyInPt crystal from the Open Quantum Materials Database. Energies are from PBE-GGA.

a b c (Å): 7.4926 7.4926 4.0283
angles (deg): 90.00 90.00 120.00
Space group P-62m (No. 189)
Inequivalent atoms, fractional coordinates:
Dy1 0.0000 0.5912 0.0000 [3 per cell]
In1 0.0000 0.2554 0.5000 [3 per cell]
Pt1 0.0000 0.0000 0.0000 [1 per cell]
Pt2 0.3333 0.6667 0.5000 [2 per cell]

Results
Magnetization ... 0.002 μB/atom
ρ ... 12.0 g/cm³
Final energy ... -0.4013 Ry per atom



Here is a relaxed Ni16Te crystal from the Open Quantum Materials Database. Energies are from PBE-GGA.

a b c (Å): 4.278 5.504 30.091
angles (deg): 89.87 90.00 75.11
Space group P-1 (No. 2)
Inequivalent atoms, fractional coordinates:
Ni1 0.000 0.249 0.054 [2 per cell]
Ni2 0.002 0.747 0.163 [2 per cell]
Ni3 0.141 0.823 0.241 [2 per cell]
Ni4 0.142 0.818 0.805 [2 per cell]
Ni5 0.142 0.821 0.023 [2 per cell]
Ni6 0.143 0.319 0.133 [2 per cell]
Ni7 0.143 0.323 0.914 [2 per cell]
Ni8 0.284 0.393 0.775 [2 per cell]
Ni9 0.285 0.894 0.884 [2 per cell]
Ni10 0.286 0.393 0.992 [2 per cell]
Ni11 0.286 0.891 0.101 [2 per cell]
Ni12 0.287 0.394 0.212 [2 per cell]
Ni13 0.428 0.463 0.070 [2 per cell]
Ni14 0.428 0.964 0.178 [2 per cell]
Ni15 0.429 0.467 0.852 [2 per cell]
Ni16 0.429 0.965 0.961 [2 per cell]
Te1 0.431 0.961 0.735 [2 per cell]

Results
Magnetization ... 0.525 μB/atom
ρ ... 5.2 g/cm³
Final energy ... -0.3956 Ry per atom



Here is a relaxed Tb2P2IrOsN2 crystal from the Open Quantum Materials Database. Energies are from PBE-GGA.

a b c (Å): 4.015 4.015 8.189
angles (deg): 90.00 90.00 90.00
Space group P-4m2 (No. 115)
Inequivalent atoms, fractional coordinates:
Tb1 0.000 0.500 0.128 [2 per cell]
P1 0.000 0.500 0.652 [2 per cell]
Ir1 0.000 0.000 0.500 [1 per cell]
Os1 0.500 0.500 0.500 [1 per cell]
N1 0.000 0.000 0.000 [1 per cell]
N2 0.500 0.500 0.000 [1 per cell]

Results
Magnetization ... 0.015 μB/atom
ρ ... 9.9 g/cm³
Final energy ... -0.5803 Ry per atom



Here is a relaxed Y2Lu4C3S3 crystal from the Open Quantum Materials Database. Energies are from PBE-GGA.

a b c (Å): 10.930 6.310 13.178
angles (deg): 90.00 106.04 90.00
Space group C2/c (No. 15)
Inequivalent atoms, fractional coordinates:
Y1 0.048 0.084 0.395 [8 per cell]
Lu1 0.117 0.417 0.602 [8 per cell]
Lu2 0.216 0.416 0.898 [8 per cell]
C1 0.085 0.255 0.000 [8 per cell]
C2 0.250 0.250 0.500 [4 per cell]
S1 0.000 0.426 0.250 [4 per cell]
S2 0.171 0.087 0.750 [8 per cell]

Results
Magnetization ... 0.000 μB/atom
ρ ... 7.7 g/cm³
Final energy ... -0.5308 Ry per atom



Here is a relaxed HoScAl2Ir4 crystal from the Open Quantum Materials Database. Energies are from PBE-GGA.

a b c (Å): 4.2490 4.2490 8.9429
angles (deg): 90.00 90.00 120.00
Space group P-6m2 (No. 187)
Inequivalent atoms, fractional coordinates:
Ho1 0.0000 0.0000 0.0000 [1 per cell]
Sc1 0.6667 0.3333 0.5000 [1 per cell]
Al1 0.3333 0.6667 0.2652 [2 per cell]
Ir1 0.0000 0.0000 0.3518 [2 per cell]
Ir2 0.6667 0.3333 0.1755 [2 per cell]

Results
Magnetization ... 0.000 μB/atom
ρ ... 12.3 g/cm³
Final energy ... -0.5492 Ry per atom



Here is a relaxed PrDyGe2Au2 crystal from the Open Quantum Materials Database. Energies are from PBE-GGA.

a b c (Å): 4.5135 4.5135 7.5571
angles (deg): 90.00 90.00 120.00
Space group P3m1 (No. 156)
Inequivalent atoms, fractional coordinates:
Pr1 0.0000 0.0000 0.0000 [1 per cell]
Dy1 0.0000 0.0000 0.4972 [1 per cell]
Ge1 0.3333 0.6667 0.7017 [1 per cell]
Ge2 0.6667 0.3333 0.2184 [1 per cell]
Au1 0.3333 0.6667 0.2994 [1 per cell]
Au2 0.6667 0.3333 0.7595 [1 per cell]

Results
Magnetization ... 0.001 μB/atom
ρ ... 10.5 g/cm³
Final energy ... -0.3696 Ry per atom



Here is a relaxed KLiTbS3 crystal from the Open Quantum Materials Database. Energies are from PBE-GGA.

a b c (Å): 4.110 13.356 10.550
angles (deg): 90.00 90.00 90.00
Space group Cmcm (No. 63)
Inequivalent atoms, fractional coordinates:
K1 0.000 0.239 0.250 [4 per cell]
Li1 0.000 0.038 0.750 [4 per cell]
Tb1 0.000 0.500 0.000 [4 per cell]
S1 0.000 0.129 0.554 [8 per cell]
S2 0.000 0.446 0.750 [4 per cell]

Results
Magnetization ... 0.088 μB/atom
ρ ... 3.5 g/cm³
Final energy ... -0.3476 Ry per atom



Here is a relaxed Al28Re crystal from the Open Quantum Materials Database. Energies are from PBE-GGA.

a b c (Å): 9.871 9.871 9.871
angles (deg): 90.00 90.00 90.00
Space group I-43m (No. 217)
Inequivalent atoms, fractional coordinates:
Al1 0.054 0.361 0.639 [24 per cell]
Al2 0.093 0.093 0.717 [24 per cell]
Al3 0.162 0.162 0.162 [8 per cell]
Re1 0.000 0.000 0.000 [2 per cell]

Results
Magnetization ... 0.000 μB/atom
ρ ... 3.3 g/cm³
Final energy ... -0.2920 Ry per atom